## w
{"formula": "RbTl2Te2", "functional": "PBE-GGA", "state": "optimized geometry", "density_g_cm3": 6.25, "crystal_system": "trigonal", "lattice_angstrom": [[-3.519, 0.094, -3.027], [-2.470, -3.847, -0.808], [-8.691, 1.396, 6.585]], "species": ["Tl", "Tl", "Te", "Te", "Rb"], "fractional_positions": [[0.204, 0.204, 0.388], [0.796, 0.796, 0.612], [0.413, 0.413, 0.761], [0.587, 0.587, 0.239], [0.000, 0.000, 0.000]]}

=====

## x
{"formula": "RbTl2Te2", "functional": "PBE-GGA", "state": "optimized geometry", "density_g_cm3": 6.87, "crystal_system": "tetragonal", "lattice_angstrom": [[-2.756, 4.121, 8.209], [7.365, -4.130, 4.546], [2.254, 3.126, -0.813]], "species": ["Te", "Te", "Te", "Te", "Tl", "Tl", "Tl", "Tl", "Rb", "Rb"], "fractional_positions": [[0.179, 0.679, 0.500], [0.321, 0.179, 0.500], [0.679, 0.821, 0.500], [0.821, 0.321, 0.500], [0.122, 0.378, 0.000], [0.622, 0.122, 0.000], [0.378, 0.878, 0.000], [0.878, 0.622, 0.000], [0.500, 0.500, 0.000], [0.000, 0.000, 0.000]]}

=====

The structure with the greatest stability is w.

=====

## w
{"formula": "RbTl2Te2", "functional": "PBE-GGA", "state": "optimized geometry", "density_g_cm3": 6.39, "crystal_system": "tetragonal", "lattice_angstrom": [[-4.519, 2.748, 2.895], [0.017, -4.360, 4.165], [1.295, 1.975, 6.426]], "species": ["Te", "Te", "Tl", "Tl", "Rb"], "fractional_positions": [[0.750, 0.250, 0.500], [0.250, 0.750, 0.500], [0.647, 0.647, 0.705], [0.353, 0.353, 0.295], [0.000, 0.000, 0.000]]}

=====

## x
{"formula": "RbTl2Te2", "functional": "PBE-GGA", "state": "optimized geometry", "density_g_cm3": 6.03, "crystal_system": "monoclinic", "lattice_angstrom": [[-1.243, 0.159, -5.507], [7.173, -0.692, -1.639], [-5.510, -9.407, 0.972]], "species": ["Te", "Te", "Te", "Te", "Tl", "Tl", "Tl", "Tl", "Rb", "Rb"], "fractional_positions": [[0.250, 0.831, 0.588], [0.750, 0.726, 0.914], [0.750, 0.169, 0.412], [0.250, 0.274, 0.086], [0.250, 0.358, 0.580], [0.250, 0.820, 0.862], [0.750, 0.180, 0.138], [0.750, 0.642, 0.420], [0.250, 0.829, 0.218], [0.750, 0.171, 0.782]]}

=====

The structure with the greatest stability is x.

=====

## w
{"formula": "RbTl2Te2", "functional": "PBE-GGA", "state": "optimized geometry", "density_g_cm3": 6.56, "crystal_system": "tetragonal", "lattice_angstrom": [[10.026, 0.000, 0.000], [0.000, 10.026, 0.000], [0.000, 0.000, 3.776]], "species": ["Te", "Te", "Te", "Te", "Rb", "Rb", "Tl", "Tl", "Tl", "Tl"], "fractional_positions": [[0.826, 0.674, 0.000], [0.174, 0.326, 0.000], [0.674, 0.174, 0.000], [0.326, 0.826, 0.000], [0.000, 0.000, 0.000], [0.500, 0.500, 0.000], [0.378, 0.122, 0.500], [0.878, 0.378, 0.500], [0.122, 0.622, 0.500], [0.622, 0.878, 0.500]]}

=====

## x
{"formula": "RbTl2Te2", "functional": "PBE-GGA", "state": "optimized geometry", "density_g_cm3": 6.21, "crystal_system": "tetragonal", "lattice_angstrom": [[-1.898, 2.136, -4.228], [2.377, -3.511, -2.840], [-5.941, -5.252, -3.065]], "species": ["Te", "Te", "Tl", "Tl", "Rb"], "fractional_positions": [[0.394, 0.394, 0.212], [0.606, 0.606, 0.788], [0.750, 0.250, 0.500], [0.250, 0.750, 0.500], [0.000, 0.000, 0.000]]}

=====

The structure with the greatest stability is x.